*w*
The following is a GGA-PBE calculation of a relaxed structure of AcTb2Nd2, from Alexandria via LeMat-Bulk.

Summary:
theoretical density = 7.729 g/cm³
M_tot = 0.00 μB per formula unit

Unit cell a=3.682 b=5.811 c=16.736 alpha=90.00 beta=90.00 gamma=90.00
Sites, in units of the cell vectors:
Ac 0.000 0.000 0.000
Ac 0.500 0.500 0.500
Tb 0.000 0.500 0.284
Tb 0.000 0.500 0.716
Tb 0.500 0.000 0.216
Tb 0.500 0.000 0.784
Nd 0.000 0.000 0.400
Nd 0.000 0.000 0.600
Nd 0.500 0.500 0.100
Nd 0.500 0.500 0.900

---

*x*
The following is a GGA-PBE calculation of a relaxed structure of AcTb2Nd2, from Alexandria via LeMat-Bulk.

Summary:
theoretical density = 7.738 g/cm³
M_tot = 0.00 μB per formula unit

Unit cell a=3.716 b=3.716 c=25.903 alpha=90.00 beta=90.00 gamma=90.00
Sites, in units of the cell vectors:
Ac 0.000 0.000 0.000
Ac 0.500 0.500 0.500
Tb 0.000 0.000 0.203
Tb 0.000 0.000 0.797
Tb 0.500 0.500 0.297
Tb 0.500 0.500 0.703
Nd 0.000 0.000 0.393
Nd 0.000 0.000 0.607
Nd 0.500 0.500 0.107
Nd 0.500 0.500 0.893

---

Least stable: *x*

---

*w*
The following is a GGA-PBE calculation of a relaxed structure of Ac2Tb5Nd4, from Alexandria via LeMat-Bulk.

Summary:
theoretical density = 7.647 g/cm³
M_tot = 0.00 μB per formula unit

Unit cell a=9.432 b=9.432 c=11.930 alpha=90.25 beta=90.25 gamma=21.93
Sites, in units of the cell vectors:
Ac 0.099 0.099 0.043
Ac 0.901 0.901 0.957
Tb 0.132 0.132 0.338
Tb 0.241 0.241 0.841
Tb 0.500 0.500 0.500
Tb 0.759 0.759 0.159
Tb 0.868 0.868 0.662
Nd 0.054 0.054 0.747
Nd 0.314 0.314 0.413
Nd 0.686 0.686 0.587
Nd 0.946 0.946 0.253

---

*x*
The following is a GGA-PBE calculation of a relaxed structure of Ac2Tb5Nd4, from Alexandria via LeMat-Bulk.

Summary:
theoretical density = 7.655 g/cm³
M_tot = 0.00 μB per formula unit

Unit cell a=7.854 b=7.854 c=8.373 alpha=102.35 beta=102.35 gamma=52.14
Sites, in units of the cell vectors:
Ac 0.170 0.170 0.229
Ac 0.830 0.830 0.771
Tb 0.000 0.000 0.500
Tb 0.200 0.670 0.151
Tb 0.330 0.800 0.849
Tb 0.670 0.200 0.151
Tb 0.800 0.330 0.849
Nd 0.265 0.265 0.818
Nd 0.388 0.388 0.520
Nd 0.612 0.612 0.480
Nd 0.735 0.735 0.182

---

Least stable: *x*

---

*w*
The following is a GGA-PBE calculation of a relaxed structure of AcTb2Nd8, from Alexandria via LeMat-Bulk.

Summary:
theoretical density = 7.114 g/cm³
M_tot = 0.00 μB per formula unit

Unit cell a=9.116 b=9.116 c=6.900 alpha=98.17 beta=98.17 gamma=44.42
Sites, in units of the cell vectors:
Ac 0.000 0.000 0.000
Tb 0.211 0.211 0.789
Tb 0.789 0.789 0.211
Nd 0.177 0.640 0.575
Nd 0.238 0.238 0.291
Nd 0.360 0.823 0.425
Nd 0.407 0.407 0.082
Nd 0.593 0.593 0.918
Nd 0.640 0.177 0.575
Nd 0.762 0.762 0.709
Nd 0.823 0.360 0.425

---

*x*
The following is a GGA-PBE calculation of a relaxed structure of AcTb2Nd8, from Alexandria via LeMat-Bulk.

Summary:
theoretical density = 7.128 g/cm³
M_tot = 0.00 μB per formula unit

Unit cell a=9.627 b=9.627 c=9.627 alpha=145.77 beta=127.06 gamma=64.57
Sites, in units of the cell vectors:
Ac 0.000 0.000 0.000
Tb 0.300 0.300 0.000
Tb 0.700 0.700 0.000
Nd 0.153 0.855 0.298
Nd 0.160 0.660 0.500
Nd 0.298 0.500 0.798
Nd 0.443 0.145 0.298
Nd 0.557 0.855 0.702
Nd 0.702 0.500 0.202
Nd 0.840 0.340 0.500
Nd 0.847 0.145 0.702

---

Least stable: *w*